# 1
A plane-wave DFT calculation with PBE was carried out for an optimized crystal structure of CdFeSe2.

Final energy in Ry per atom: -0.295
Crystal system: trigonal
M_tot in μB/atom: 0.1284
Raw formation energy in eV per atom: 0.07

Cell lengths 9.838, 9.838, 9.838 Å; angles 18.20, 18.20, 18.20 degrees
Each line ends with the local moment (μB).
Positions (direct):
Se 0.238 0.238 0.238  -0.15
Se 0.030 0.030 0.030  -0.07
Cd 0.487 0.487 0.487  -0.03
Fe 0.746 0.746 0.746  0.91



# 2
A plane-wave DFT calculation with PBE was carried out for an optimized crystal structure of Cd2FeSe.

Final energy in Ry per atom: -0.248
Crystal system: monoclinic
M_tot in μB/atom: 0.5498
Raw formation energy in eV per atom: 0.08

Cell lengths 3.333, 4.094, 6.308 Å; angles 71.13, 90.00, 90.00 degrees
Each line ends with the local moment (μB).
Positions (direct):
Fe 0.000 0.712 0.451  2.31
Cd 0.500 0.280 0.314  -0.06
Cd 0.000 0.939 0.998  -0.03
Se 0.500 0.569 0.738  -0.01



# 3
A plane-wave DFT calculation with PBE was carried out for an optimized crystal structure of CdFeSe2.

Final energy in Ry per atom: -0.306
Crystal system: monoclinic
M_tot in μB/atom: 0.5300
Raw formation energy in eV per atom: -0.07

Cell lengths 3.420, 5.945, 7.347 Å; angles 45.87, 90.00, 90.00 degrees
Each line ends with the local moment (μB).
Positions (direct):
Se 0.000 0.677 0.571  0.00
Se 0.000 0.823 0.929  0.00
Cd 0.500 0.250 0.250  -0.04
Fe 0.500 0.750 0.750  2.12



# 4
A plane-wave DFT calculation with PBE was carried out for an optimized crystal structure of Cd2FeSe.

Final energy in Ry per atom: -0.233
Crystal system: orthorhombic
M_tot in μB/atom: 0.5832
Raw formation energy in eV per atom: 0.28

Cell lengths 2.921, 2.921, 9.222 Å; angles 90.00, 90.00, 94.53 degrees
Each line ends with the local moment (μB).
Positions (direct):
Fe 0.500 0.500 0.250  2.48
Se 0.500 0.500 0.750  -0.02
Cd 0.000 0.000 0.042  -0.04
Cd 0.000 0.000 0.458  -0.04



# 5
A plane-wave DFT calculation with PBE was carried out for an optimized crystal structure of CdFeSe.

Final energy in Ry per atom: -0.312
Crystal system: trigonal
M_tot in μB/atom: 0.0000
Raw formation energy in eV per atom: 0.04

Cell lengths 3.241, 3.241, 6.159 Å; angles 90.00, 90.00, 120.00 degrees
Positions (direct):
Se 0.333 0.667 0.582
Fe 0.667 0.333 0.373
Cd 0.000 0.000 0.045



# 6
A plane-wave DFT calculation with PBE was carried out for an optimized crystal structure of Cd2FeSe.

Final energy in Ry per atom: -0.229
Crystal system: orthorhombic
M_tot in μB/atom: 0.6432
Raw formation energy in eV per atom: 0.33

Cell lengths 3.990, 4.520, 4.305 Å; angles 90.00, 90.00, 90.00 degrees
Each line ends with the local moment (μB).
Positions (direct):
Cd 0.000 0.000 0.000  -0.05
Cd 0.500 0.500 0.000  -0.04
Fe 0.500 0.000 0.500  2.67
Se 0.000 0.500 0.500  -0.01



# 7
A plane-wave DFT calculation with PBE was carried out for an optimized crystal structure of CdFeSe2.

Final energy in Ry per atom: -0.286
Crystal system: monoclinic
M_tot in μB/atom: 0.9330
Raw formation energy in eV per atom: 0.19

Cell lengths 6.695, 5.392, 4.029 Å; angles 66.07, 92.95, 129.80 degrees
Each line ends with the local moment (μB).
Positions (direct):
Fe 0.500 0.500 0.000  3.23
Se 0.500 0.000 0.500  0.11
Se 0.000 0.000 0.000  0.11
Cd 0.000 0.500 0.500  0.01



# 8
A plane-wave DFT calculation with PBE was carried out for an optimized crystal structure of CdFeSe.

Final energy in Ry per atom: -0.309
Crystal system: tetragonal
M_tot in μB/atom: 0.1570
Raw formation energy in eV per atom: 0.08

Cell lengths 6.523, 6.523, 2.959 Å; angles 76.89, 76.89, 26.22 degrees
Each line ends with the local moment (μB).
Positions (direct):
Se 0.283 0.283 0.717  -0.04
Fe 0.688 0.688 0.312  0.58
Cd 0.029 0.029 0.971  -0.01